(1)
The following is a DFT calculation (PBE) of an optimized crystal structure of LiCuAg14.

The structure in CIF format:
```
data_LiCuAg14
_space_group_name_H-M_alt 'A m m 2'
_space_group_IT_number 38
_space_group_name_Hall 'A 2 -2'
_cell_length_a 9.417
_cell_length_b 5.915
_cell_length_c 10.090
_cell_angle_alpha 90.00
_cell_angle_beta 90.00
_cell_angle_gamma 90.00
loop_
_atom_site_label
_atom_site_fract_x
_atom_site_fract_y
_atom_site_fract_z
Li1 0.000 0.000 0.000
Cu1 0.000 0.000 0.501
Ag1 0.000 0.248 0.752
Ag2 0.242 0.250 0.080
Ag3 0.244 0.000 0.333
Ag4 0.249 0.000 0.833
Ag5 0.500 0.000 0.163
Ag6 0.500 0.000 0.662
Ag7 0.500 0.249 0.413
```

---

(2)
The following is a DFT calculation (PBE) of an optimized crystal structure of Li3Cu2Ag2.

The structure in CIF format:
```
data_Li3Cu2Ag2
_space_group_name_H-M_alt 'P 1 2/m 1'
_space_group_IT_number 10
_space_group_name_Hall '-P 2y'
_cell_length_a 4.335
_cell_length_b 2.700
_cell_length_c 9.227
_cell_angle_alpha 90.00
_cell_angle_beta 103.35
_cell_angle_gamma 90.00
loop_
_atom_site_label
_atom_site_fract_x
_atom_site_fract_y
_atom_site_fract_z
Li1 0.000 0.000 0.000
Li2 0.290 0.000 0.581
Cu1 0.429 0.000 0.858
Ag1 0.140 0.500 0.281
```

---

no.,ΔH_f (0 K) (eV/atom)
1,0.012
2,-0.040